1.
A plane-wave DFT calculation with PBE was carried out for an optimized crystal structure of Th4Te5Ru2.

Structure (POSCAR):
```
Th4Te5Ru2
1.0
-2.3107 1.6835 2.7105
1.2268 -5.9305 4.7294
8.5087 7.8138 2.4003
Te Ru Th
5 2 4
Direct
0.0000 0.5438 0.3560
0.0000 0.0509 0.1840
0.0000 0.4562 0.6440
0.0000 0.5000 0.0000
0.0000 0.9491 0.8160
0.0000 0.0786 0.6209
0.0000 0.9214 0.3791
0.5000 0.2692 0.7987
0.5000 0.2048 0.4244
0.5000 0.7308 0.2013
0.5000 0.7952 0.5756
```

Output
Calculated volume = 31.3 Å³/atom
SG = P2/m (10)
Energy relative to the elements, uncorrected = -92 kJ/mol of atoms

2.
A plane-wave DFT calculation with PBE was carried out for an optimized crystal structure of Cd5Sn2Pd12.

Structure (POSCAR):
```
Cd5Sn2Pd12
1.0
9.4344 0.0000 0.0000
-4.7172 7.0348 0.4683
0.0000 -1.4826 4.8606
Pd Cd Sn
12 5 2
Direct
0.5565 0.1130 0.2887
0.0549 0.6041 0.7928
0.9451 0.3959 0.2072
0.1497 0.7985 0.3804
0.4508 0.3959 0.2072
0.5492 0.6041 0.7928
0.6488 0.7985 0.3804
0.8503 0.2015 0.6196
0.3512 0.2015 0.6196
0.4435 0.8870 0.7113
0.8920 0.7840 0.9895
0.1080 0.2160 0.0105
0.6723 0.3446 0.8724
0.7831 0.5662 0.4442
0.0000 0.0000 0.5000
0.3277 0.6554 0.1276
0.2169 0.4338 0.5558
0.2524 0.0000 0.0000
0.7476 0.0000 0.0000
```

Output
Calculated volume = 17.3 Å³/atom
SG = C2/m (12)
Energy relative to the elements = -0.345 eV per atom

Number 1: density of states at the Fermi level 0.426 states/eV per atom, total magnetization 0.00 μB/cell. Number 2: density of states at the Fermi level 0.490 states/eV per atom, total magnetization 0.00 μB/cell.